DFT (SCAN) results for a crystal of InTeO2 relaxed with PBEsol.

extended XYZ file:
```
4
Lattice="-2.247 -1.728 1.796 0.916 -2.824 1.563 1.171 1.993 6.517" Properties=species:S:1:pos:R:3 pbc="T T T"
O 0.628 0.811 4.699
O -0.787 -3.370 5.176
In -0.080 -1.280 4.938
Te 0.000 0.000 0.000
```

Computed properties:
Energy relative to the elements, uncorrected in meV/atom: -1159
Space-group type: R-3m, No. 166
Volume in Å³/atom: 16.18
Final energy in eV/atom: -21.934
Crystal system: trigonal



DFT (SCAN) results for a crystal of Be2CrRu2 relaxed with PBEsol.

extended XYZ file:
```
10
Lattice="2.877 0.000 0.000 0.000 6.063 0.000 0.000 0.000 6.063" Properties=species:S:1:pos:R:3 pbc="T T T"
Ru 1.438 5.011 1.979
Ru 1.438 1.052 4.083
Ru 1.438 1.979 1.052
Ru 1.438 4.083 5.011
Be 0.000 2.288 5.319
Be 0.000 0.744 2.288
Be 0.000 5.319 3.775
Be 0.000 3.775 0.744
Cr 0.000 0.000 0.000
Cr 0.000 3.031 3.031
```

Computed properties:
Space-group type: P4/mbm, No. 127
ΔE_f in eV/atom: -0.373
Volume in Å³/atom: 10.57
Final energy in eV/atom: -19.721
Crystal system: tetragonal



DFT (SCAN) results for a crystal of Mg2ScSi relaxed with PBEsol.

extended XYZ file:
```
4
Lattice="-1.958 -2.370 -1.078 1.435 -2.521 2.935 -4.204 1.825 3.623" Properties=species:S:1:pos:R:3 pbc="T T T"
Sc -0.261 -2.445 0.929
Mg -3.099 1.345 2.670
Mg -1.105 0.480 0.952
Si -2.363 -1.533 2.740
```

Computed properties:
Energy relative to the elements, uncorrected in meV/atom: 8
Space-group type: Pmmm, No. 47
Volume in Å³/atom: 19.63
Final energy in eV/atom: -8.543
Crystal system: orthorhombic



DFT (SCAN) results for a crystal of NaReSb2Te relaxed with PBEsol.

extended XYZ file:
```
5
Lattice="-0.946 3.750 3.222 -2.132 -3.269 3.179 5.286 -0.909 2.611" Properties=species:S:1:pos:R:3 pbc="T T T"
Sb -1.066 -1.635 1.589
Sb -0.473 1.875 1.611
Re 0.000 0.000 0.000
Te 2.643 -0.454 1.305
Na 1.103 -0.214 4.506
```

Computed properties:
Energy relative to the elements, uncorrected in meV/atom: 395
Space-group type: P4/mmm, No. 123
Volume in Å³/atom: 30.23
Final energy in eV/atom: -37.022
Crystal system: tetragonal